{"formula": "Ta3CuH", "functional": "GGA-PBE", "state": "relaxed", "cell": [[-2.6246, 3.1290, -0.5115], [-2.6997, -2.5538, -1.7692], [-1.6623, -0.7927, 3.6809]], "species": ["Ta", "Ta", "Ta", "H", "Cu"], "frac_coords": [[0.0000, 0.0000, 0.5000], [0.5000, 0.0000, 0.0000], [0.0000, 0.5000, 0.0000], [0.0000, 0.0000, 0.0000], [0.5000, 0.5000, 0.5000]], "polymorph_energy_ev_per_fu": 0.00}

---

{"formula": "TaCu2H6", "functional": "GGA-PBE", "state": "relaxed", "cell": [[5.3632, -0.3117, 1.2378], [0.8395, 4.9512, 2.3013], [-0.1646, 0.4033, 5.5068]], "species": ["H", "H", "H", "H", "H", "H", "H", "H", "H", "H", "H", "H", "Cu", "Cu", "Cu", "Cu", "Ta", "Ta"], "frac_coords": [[0.1328, 0.0220, 0.6239], [0.3715, 0.3520, 0.4949], [0.1285, 0.5051, 0.6480], [0.6147, 0.0878, 0.7956], [0.6328, 0.6239, 0.0220], [0.6285, 0.6480, 0.5051], [0.8853, 0.2044, 0.9122], [0.1147, 0.7956, 0.0878], [0.8715, 0.4949, 0.3520], [0.3672, 0.3761, 0.9780], [0.3853, 0.9122, 0.2044], [0.8672, 0.9780, 0.3761], [0.3394, 0.1745, 0.3299], [0.6606, 0.8255, 0.6701], [0.1606, 0.6701, 0.8255], [0.8394, 0.3299, 0.1745], [0.7500, 0.8609, 0.1391], [0.2500, 0.1391, 0.8609]], "energy_ev_per_atom": -4.37}

---

{"formula": "TaCuH", "functional": "GGA-PBE", "state": "relaxed", "cell": [[2.8711, 0.3954, 0.5337], [0.7015, 5.4989, 0.1970], [-0.4730, -2.2131, 4.1721]], "species": ["Ta", "Ta", "Cu", "Cu", "H", "H"], "frac_coords": [[0.3969, 0.6938, 0.3344], [0.6031, 0.3062, 0.6656], [0.8611, 0.7795, 0.8931], [0.1389, 0.2205, 0.1069], [0.2105, 0.0857, 0.3970], [0.7895, 0.9143, 0.6030]], "polymorph_energy_ev_per_fu": 0.00}

---

{"formula": "Ta2CuH", "functional": "GGA-PBE", "state": "relaxed", "cell": [[-2.1532, -2.3264, 0.4234], [0.9708, -3.0070, 0.4926], [-0.2902, -0.5774, 7.4286]], "species": ["Cu", "Ta", "Ta", "H"], "frac_coords": [[0.0000, 0.0000, 0.0000], [0.8775, 0.8775, 0.3675], [0.1225, 0.1225, 0.6325], [0.5000, 0.5000, 0.5000]], "polymorph_energy_ev_per_fu": 2.40}

---

{"formula": "TaCuTeH2", "functional": "GGA-PBE", "state": "relaxed", "cell": [[-2.8219, 1.6450, 1.8608], [-3.5371, -1.9458, -3.6438], [-0.4364, -3.1010, 2.0796]], "species": ["H", "H", "Cu", "Ta", "Te"], "frac_coords": [[0.0000, 0.0000, 0.5000], [0.5000, 0.0000, 0.0000], [0.5000, 0.5000, 0.5000], [0.0000, 0.0000, 0.0000], [0.0000, 0.5000, 0.0000]], "energy_ev_per_atom": -4.79}

---

{"formula": "TaTi2CuH", "functional": "GGA-PBE", "state": "relaxed", "cell": [[-0.8892, 2.8240, -2.9868], [2.0328, -2.3539, -2.8308], [-3.1280, -1.7881, -0.7594]], "species": ["Ti", "Ti", "H", "Ta", "Cu"], "frac_coords": [[0.5000, 0.0000, 0.0000], [0.0000, 0.5000, 0.0000], [0.0000, 0.0000, 0.0000], [0.5000, 0.5000, 0.5000], [0.0000, 0.0000, 0.5000]], "polymorph_energy_ev_per_fu": 0.21}

---

{"formula": "TaTi2CuH", "functional": "GGA-PBE", "state": "relaxed", "cell": [[4.0159, 0.0000, 0.0000], [0.0000, 4.0159, 0.0000], [0.0000, 0.0000, 4.0865]], "species": ["Cu", "Ti", "Ti", "Ta", "H"], "frac_coords": [[0.5000, 0.5000, 0.5000], [0.5000, 0.0000, 0.0000], [0.0000, 0.5000, 0.0000], [0.0000, 0.0000, 0.5000], [0.0000, 0.0000, 0.0000]], "polymorph_energy_ev_per_fu": 0.00}

---

{"formula": "Ta2TiCuH", "functional": "GGA-PBE", "state": "relaxed", "cell": [[-0.0900, 2.5968, -3.1635], [-1.1264, -3.0578, -2.4780], [-3.8854, 0.8057, 0.7719]], "species": ["H", "Ta", "Ta", "Cu", "Ti"], "frac_coords": [[0.0000, 0.0000, 0.0000], [0.5000, 0.0000, 0.0000], [0.0000, 0.5000, 0.0000], [0.5000, 0.5000, 0.5000], [0.0000, 0.0000, 0.5000]], "energy_ev_per_atom": -7.80}

---

{"formula": "TaV2CuH", "functional": "GGA-PBE", "state": "relaxed", "cell": [[-3.7019, -0.4859, 0.7069], [0.1179, -3.3900, -1.7130], [0.9189, -1.7811, 3.5881]], "species": ["V", "V", "Cu", "Ta", "H"], "frac_coords": [[0.0000, 0.5000, 0.0000], [0.5000, 0.0000, 0.0000], [0.0000, 0.0000, 0.5000], [0.5000, 0.5000, 0.5000], [0.0000, 0.0000, 0.0000]], "polymorph_energy_ev_per_fu": 0.19}

---

{"formula": "TaV2CuH", "functional": "GGA-PBE", "state": "relaxed", "cell": [[-2.8928, 2.4353, 0.0256], [-2.3542, -2.7860, -0.9981], [-0.6876, -0.8591, 4.0199]], "species": ["Ta", "V", "V", "Cu", "H"], "frac_coords": [[0.0000, 0.0000, 0.5000], [0.0000, 0.5000, 0.0000], [0.5000, 0.0000, 0.0000], [0.5000, 0.5000, 0.5000], [0.0000, 0.0000, 0.0000]], "polymorph_energy_ev_per_fu": 0.00}

---

{"formula": "ZrTa2CuH", "functional": "GGA-PBE", "state": "relaxed", "cell": [[4.0587, 0.0000, 0.0000], [0.0000, 4.0587, 0.0000], [0.0000, 0.0000, 4.4999]], "species": ["Ta", "Ta", "H", "Zr", "Cu"], "frac_coords": [[0.5000, 0.0000, 0.0000], [0.0000, 0.5000, 0.0000], [0.0000, 0.0000, 0.0000], [0.0000, 0.0000, 0.5000], [0.5000, 0.5000, 0.5000]], "energy_ev_per_atom": -7.89}

---

{"formula": "Zr2TaCuH", "functional": "GGA-PBE", "state": "relaxed", "cell": [[-3.8647, -0.6232, -1.9857], [-1.8907, -0.6991, 3.8992], [-0.8071, 3.9793, 0.3221]], "species": ["H", "Ta", "Zr", "Zr", "Cu"], "frac_coords": [[0.0000, 0.0000, 0.0000], [0.0000, 0.0000, 0.5000], [0.0000, 0.5000, 0.0000], [0.5000, 0.0000, 0.0000], [0.5000, 0.5000, 0.5000]], "polymorph_energy_ev_per_fu": 0.10}

---

{"formula": "Zr2TaCuH", "functional": "GGA-PBE", "state": "relaxed", "cell": [[4.5627, 0.0000, 0.0000], [0.0000, 4.5627, 0.0000], [0.0000, 0.0000, 3.6928]], "species": ["Cu", "Zr", "Zr", "H", "Ta"], "frac_coords": [[0.0000, 0.0000, 0.5000], [0.0000, 0.5000, 0.0000], [0.5000, 0.0000, 0.0000], [0.0000, 0.0000, 0.0000], [0.5000, 0.5000, 0.5000]], "polymorph_energy_ev_per_fu": 0.00}

---

{"formula": "Tb3Cu5H12", "functional": "GGA-PBE", "state": "relaxed", "cell": [[10.0353, 0.0000, 0.0000], [-3.3451, 9.4614, 0.0000], [-3.3451, -4.7307, 8.1938]], "species": ["Cu", "Cu", "Cu", "Cu", "Cu", "Cu", "Cu", "Cu", "Cu", "Cu", "Cu", "Cu", "Cu", "Cu", "Cu", "Cu", "Cu", "Cu", "Cu", "Cu", "H", "H", "H", "H", "H", "H", "H", "H", "H", "H", "H", "H", "H", "H", "H", "H", "H", "H", "H", "H", "H", "H", "H", "H", "H", "H", "H", "H", "H", "H", "H", "H", "H", "H", "H", "H", "H", "H", "H", "H", "H", "H", "H", "H", "H", "H", "H", "H", "Tb", "Tb", "Tb", "Tb", "Tb", "Tb", "Tb", "Tb", "Tb", "Tb", "Tb", "Tb"], "frac_coords": [[0.0000, 0.0000, 0.0000], [0.3750, 0.2500, 0.1250], [0.7500, 0.6250, 0.3750], [0.0000, 0.5000, 0.5000], [0.8750, 0.2500, 0.6250], [0.0000, 0.0000, 0.5000], [0.0000, 0.5000, 0.0000], [0.5000, 0.5000, 0.5000], [0.7500, 0.1250, 0.8750], [0.6250, 0.7500, 0.8750], [0.1250, 0.7500, 0.3750], [0.6250, 0.8750, 0.2500], [0.3750, 0.1250, 0.7500], [0.2500, 0.3750, 0.6250], [0.5000, 0.0000, 0.5000], [0.1250, 0.3750, 0.2500], [0.5000, 0.5000, 0.0000], [0.8750, 0.6250, 0.7500], [0.2500, 0.8750, 0.1250], [0.5000, 0.0000, 0.0000], [0.0841, 0.9025, 0.3816], [0.4159, 0.2975, 0.3184], [0.0841, 0.1816, 0.2025], [0.6184, 0.0209, 0.2025], [0.0975, 0.1816, 0.4791], [0.9791, 0.5975, 0.1816], [0.8816, 0.5841, 0.9025], [0.4791, 0.6816, 0.0975], [0.9025, 0.8184, 0.5209], [0.1184, 0.4159, 0.0975], [0.6816, 0.2025, 0.5841], [0.2025, 0.6816, 0.0841], [0.6816, 0.4791, 0.5975], [0.4791, 0.7975, 0.8816], [0.9159, 0.8184, 0.7975], [0.3816, 0.9791, 0.7975], [0.6184, 0.5975, 0.9159], [0.9159, 0.0975, 0.6184], [0.5841, 0.7025, 0.6816], [0.5975, 0.6184, 0.4159], [0.7025, 0.1184, 0.0209], [0.2975, 0.8816, 0.9791], [0.4025, 0.0209, 0.3184], [0.2025, 0.5209, 0.6184], [0.7025, 0.5841, 0.1816], [0.4025, 0.3816, 0.5841], [0.0209, 0.4025, 0.8184], [0.5209, 0.2025, 0.1184], [0.9791, 0.3816, 0.2975], [0.2975, 0.4159, 0.8184], [0.5975, 0.9791, 0.6816], [0.1184, 0.7025, 0.5209], [0.7975, 0.3184, 0.9159], [0.4159, 0.1184, 0.5975], [0.5209, 0.3184, 0.9025], [0.3184, 0.7975, 0.4159], [0.0209, 0.6184, 0.7025], [0.1816, 0.0841, 0.7025], [0.5841, 0.8816, 0.4025], [0.8816, 0.2975, 0.4791], [0.7975, 0.4791, 0.3816], [0.3184, 0.5209, 0.4025], [0.8184, 0.9025, 0.0209], [0.0975, 0.9159, 0.1184], [0.8184, 0.9159, 0.2975], [0.1816, 0.0975, 0.9791], [0.9025, 0.0841, 0.8816], [0.3816, 0.4025, 0.0841], [0.8750, 0.7500, 0.1250], [0.1250, 0.8750, 0.7500], [0.8750, 0.1250, 0.2500], [0.7500, 0.8750, 0.6250], [0.6250, 0.3750, 0.7500], [0.3750, 0.7500, 0.6250], [0.6250, 0.2500, 0.3750], [0.2500, 0.1250, 0.3750], [0.1250, 0.2500, 0.8750], [0.7500, 0.3750, 0.1250], [0.3750, 0.6250, 0.2500], [0.2500, 0.6250, 0.8750]], "energy_ev_per_atom": -3.95}

---

{"formula": "TbCuH", "functional": "GGA-PBE", "state": "relaxed", "cell": [[3.4448, 0.0000, 0.0000], [0.0000, 3.4448, 0.0000], [-1.7224, -1.7224, 4.2682]], "species": ["H", "Tb", "Cu"], "frac_coords": [[0.0906, 0.0906, 0.1811], [0.6168, 0.6168, 0.2337], [0.2926, 0.2926, 0.5852]], "polymorph_energy_ev_per_fu": 1.15}

---

{"formula": "Tb2CuH", "functional": "GGA-PBE", "state": "relaxed", "cell": [[-1.0962, 3.7080, 1.6829], [-4.0406, 0.7888, 0.9134], [-0.7713, -1.1502, 7.3156]], "species": ["Tb", "Tb", "Cu", "H"], "frac_coords": [[0.0997, 0.0997, 0.7010], [0.9003, 0.9003, 0.2990], [0.5000, 0.5000, 0.5000], [0.0000, 0.0000, 0.0000]], "energy_ev_per_atom": -4.12}

---

{"formula": "TbCuH", "functional": "GGA-PBE", "state": "relaxed", "cell": [[3.9175, 0.0000, 0.0000], [0.0000, 6.3163, -0.3480], [0.0000, -1.6213, 7.4312]], "species": ["H", "H", "H", "H", "Tb", "Tb", "Tb", "Tb", "Cu", "Cu", "Cu", "Cu"], "frac_coords": [[0.7500, 0.0030, 0.1255], [0.2500, 0.9970, 0.8745], [0.7500, 0.0030, 0.6255], [0.2500, 0.9970, 0.3745], [0.2500, 0.1970, 0.1684], [0.7500, 0.8030, 0.8316], [0.2500, 0.1970, 0.6684], [0.7500, 0.8030, 0.3316], [0.2500, 0.6133, 0.5369], [0.7500, 0.3867, 0.4631], [0.2500, 0.6133, 0.0369], [0.7500, 0.3867, 0.9631]], "polymorph_energy_ev_per_fu": 0.00}

---

{"formula": "Tb4Cu2H", "functional": "GGA-PBE", "state": "relaxed", "cell": [[-0.0115, -4.6990, -0.3983], [0.4439, -0.3976, 4.6780], [-7.1670, 2.5097, -1.4836]], "species": ["H", "Tb", "Tb", "Tb", "Tb", "Cu", "Cu"], "frac_coords": [[0.0000, 0.0000, 0.0000], [0.0000, 0.5000, 0.0000], [0.1914, 0.1914, 0.3828], [0.5000, 0.0000, 0.0000], [0.8086, 0.8086, 0.6172], [0.3830, 0.3830, 0.7660], [0.6170, 0.6170, 0.2340]], "energy_ev_per_atom": -4.44}

---

{"formula": "CuTc2H2", "functional": "GGA-PBE", "state": "relaxed", "cell": [[-1.0615, -0.3244, -3.0440], [1.1443, -3.0303, -0.0761], [-3.8851, -3.1986, -0.0287]], "species": ["H", "H", "Tc", "Tc", "Cu"], "frac_coords": [[0.2500, 0.7500, 0.5000], [0.7500, 0.2500, 0.5000], [0.3483, 0.3483, 0.3034], [0.6517, 0.6517, 0.6966], [0.0000, 0.0000, 0.0000]], "polymorph_energy_ev_per_fu": 0.00}

---

So what do the calculations give for theoretical density? Going down the list: 14.47, 7.23, 12.26, 11.07, 8.08, 8.70, 8.60, 11.63, 9.72, 9.68, 11.60, 9.06, 9.24, 6.89, 7.33, 5.86, 8.17, 8.17, 9.23 g cm⁻³.